(1)
First-principles (PBE) data for a relaxed structure of Cd7OF12, as listed in Alexandria. Values from VASP.

Calculated values
**Symmetry**: R-3, No. 148
**Formation energy from raw total energies**: -2.01 eV/atom
**Total magnetization**: 0.00 μB per atom

The structure in Quantum ESPRESSO input format:
```
&SYSTEM
  ibrav = 0, nat = 20, ntyp = 3
/
ATOMIC_SPECIES
Cd 112.41 Cd.upf
O 16.00 O.upf
F 19.00 F.upf
ATOMIC_POSITIONS angstrom
Cd 0.0000 0.0000 0.0000
Cd -1.2272 -1.5795 2.8743
Cd -0.7543 1.8525 2.8743
Cd 1.9815 -0.2730 2.8743
Cd -1.9815 0.2730 5.6716
Cd 0.7543 -1.8525 5.6716
Cd 1.2272 1.5795 5.6715
O 0.0000 0.0000 4.2729
F -1.6545 0.3140 1.5287
F 0.5553 -1.5899 1.5287
F -3.0584 -0.8778 4.0633
F -0.7690 -3.0876 4.4826
F 1.0992 1.2759 1.5287
F -2.2894 2.2097 4.4826
F 2.2894 -2.2098 4.0633
F -1.0992 -1.2759 7.0171
F 0.7690 3.0876 4.0633
F 3.0584 0.8778 4.4826
F -0.5553 1.5899 7.0171
F 1.6545 -0.3140 7.0171
CELL_PARAMETERS angstrom
5.9062 3.4100 2.8486
-5.9062 3.4100 2.8486
0.0000 -6.8199 2.8486
```

(2)
First-principles (PBE) data for a relaxed structure of Re2SiTe, as listed in Alexandria. Values from VASP.

Calculated values
**Symmetry**: R3m, No. 160
**Formation energy from raw total energies**: 0.50 eV/atom
**Total magnetization**: 0.00 μB per atom
**Offset from the most stable computed form**: 201 meV per atom

The structure in Quantum ESPRESSO input format:
```
&SYSTEM
  ibrav = 0, nat = 4, ntyp = 3
/
ATOMIC_SPECIES
Re 186.21 Re.upf
Si 28.09 Si.upf
Te 127.60 Te.upf
ATOMIC_POSITIONS angstrom
Re 0.0000 0.0000 0.0000
Re 0.0000 0.0000 6.1341
Si 0.0000 0.0000 12.6873
Te 0.0000 0.0000 18.5143
CELL_PARAMETERS angstrom
1.5524 0.8963 8.2358
-1.5524 0.8963 8.2358
0.0000 -1.7925 8.2358
```

(3)
First-principles (PBE) data for a relaxed structure of Na2CdO2, as listed in Alexandria. Values from VASP.

Calculated values
**Symmetry**: P1, No. 1
**Formation energy from raw total energies**: -1.19 eV/atom
**Total magnetization**: 0.01 μB per atom

The structure in Quantum ESPRESSO input format:
```
&SYSTEM
  ibrav = 0, nat = 40, ntyp = 3
/
ATOMIC_SPECIES
Na 22.99 Na.upf
Cd 112.41 Cd.upf
O 16.00 O.upf
ATOMIC_POSITIONS angstrom
Na 0.0000 0.0000 0.0000
Na -3.3903 6.0681 2.1199
Na -1.7290 4.3096 0.4451
Na -1.4143 1.6385 1.9778
Na -0.2636 -3.2494 5.8779
Na -0.3432 0.2651 4.4143
Na -1.3195 4.8336 3.8758
Na 1.6627 2.4398 0.6503
Na -0.1928 3.2479 6.2383
Na 1.2729 5.8776 2.5058
Na 3.0194 5.0683 0.2362
Na 1.6554 -1.0186 6.1755
Na 4.3083 0.1683 4.0544
Na 2.9473 1.6567 6.2914
Na 6.5731 -0.9674 2.3960
Na 3.4618 4.8740 4.2829
Cd -2.8080 -0.8926 5.9097
Cd -3.0153 2.4280 4.4742
Cd -0.0896 6.8507 0.0229
Cd 1.6695 -0.5934 2.4459
Cd 1.4859 2.6533 3.8444
Cd 4.6707 0.5454 0.5832
Cd 4.2925 -2.9728 5.9952
Cd 4.7479 3.3800 2.0052
O -3.9988 1.1636 6.0346
O -3.7678 -2.1062 7.6039
O -3.6958 4.4486 3.8773
O -0.5668 -0.5301 2.2106
O -0.9966 6.0906 1.9596
O -0.8079 2.5397 4.0816
O 2.4078 0.2006 0.3650
O -0.7032 -0.9666 6.3136
O 2.1193 -3.3036 6.1592
O 2.0613 0.5126 4.3254
O 2.0456 7.1545 0.6226
O 2.5279 3.8366 2.2930
O 2.0478 3.7477 5.7716
O 5.3621 4.6884 0.3449
O 5.4047 -1.8922 4.2877
O 5.6211 1.3308 2.4491
CELL_PARAMETERS angstrom
9.3877 0.0000 0.0000
-3.1046 8.8656 0.0000
-3.1140 -4.4320 7.6802
```